A plane-wave DFT calculation with GGA-PBE was carried out for a relaxed AgSb2Rh crystal.

Cell: 4.9390 4.9390 3.3482 Å, 90.00 90.00 98.07°
Last column: nearest neighbours and their distance in Å.
Fractional coordinates of all 4 atoms:
1 Ag 0.0000 0.0000 0.0000  8 Sb 2.98, 2 Rh 3.24
2 Sb 0.0000 0.5000 0.5000  4 Rh 2.98, 4 Ag 2.98, 2 Sb 3.24
3 Sb 0.5000 0.0000 0.5000  4 Rh 2.98, 4 Ag 2.98, 2 Sb 3.24
4 Rh 0.5000 0.5000 0.0000  8 Sb 2.98, 2 Ag 3.24

Values from the calculation:
The theoretical density is 9.33 g cm⁻³. The calculation puts the uncorrected formation energy at 28.0 kJ/mol of formula units. Its space group is Cmmm, No. 65. The value obtained for the total energy is -4.5393 eV per atom.